Mn3PtO after structural relaxation, computed with PBE+U. Values from VASP.

Geometry as Quantum ESPRESSO input:
```
&SYSTEM
  ibrav = 0, nat = 5, ntyp = 3
/
ATOMIC_SPECIES
Mn 54.94 Mn.upf
O 16.00 O.upf
Pt 195.08 Pt.upf
ATOMIC_POSITIONS crystal
Mn 0.000 0.500 0.000
Mn 0.000 0.000 0.500
Mn 0.500 0.000 0.000
O 0.500 0.500 0.500
Pt 0.000 0.000 0.000
CELL_PARAMETERS angstrom
-4.571 -1.887 -0.535
1.823 -4.588 0.605
-0.723 0.359 4.908
```

Results
**Calculated total energy**: -5.997 eV/atom
**DOS(E_F)**: 3.7 states/eV/f.u.
**Magnetization**: 14.91 μB/cell
**Energy above the most stable polymorph in this dataset**: 6.10 eV/f.u.